VASP calculation (PBE-GGA) on a geometry-optimized Gd3MgCd2Ir2Au structure.

Computed properties:
E: -88.023 eV per cell
magnetization: 0.03 μB per cell

abc: 3.9568 13.2247 7.5393
angles: 90.00 90.00 90.00
Space group Amm2 (No. 38)
Unique sites:
Gd 0.0000 0.0000 0.0000
Gd 0.0000 0.2093 0.6123
Mg 0.5000 0.0000 0.6667
Cd 0.5000 0.1306 0.2781
Ir 0.5000 0.1621 0.8986
Au 0.0000 0.0000 0.4232


VASP calculation (PBE-GGA) on a geometry-optimized NaTmCdSe3 structure.

Computed properties:
E: -97.956 eV per cell
magnetization: 0.02 μB per cell
E above lowest polymorph: 23 meV per atom

abc: 11.0408 4.1285 13.7434
angles: 90.00 90.00 90.00
Space group Pnma (No. 62)
Unique sites:
Na 0.2194 0.2500 0.0055
Tm 0.0131 0.7500 0.7421
Cd 0.2374 0.7500 0.2181
Se 0.0359 0.7500 0.1186
Se 0.0718 0.2500 0.6079
Se 0.2349 0.2500 0.3396


VASP calculation (PBE-GGA) on a geometry-optimized GaReGe structure.

Computed properties:
E: -72.499 eV per cell
magnetization: 0.02 μB per cell
E above lowest polymorph: 214 meV per atom

abc: 5.9210 5.9210 5.9210
angles: 90.00 90.00 90.00
Space group F-43m (No. 216)
Unique sites:
Ga 0.0000 0.0000 0.0000
Re 0.0000 0.0000 0.5000
Ge 0.2500 0.2500 0.2500


VASP calculation (PBE-GGA) on a geometry-optimized ErMgZn structure.

Computed properties:
E: -30.065 eV per cell
magnetization: 3.79 μB per cell

abc: 6.6509 6.6509 6.6509
angles: 90.00 90.00 90.00
Space group F-43m (No. 216)
Unique sites:
Er 0.0000 0.0000 0.0000
Mg 0.0000 0.0000 0.5000
Zn 0.2500 0.2500 0.2500


VASP calculation (PBE-GGA) on a geometry-optimized PmCuPb structure.

Computed properties:
E: -53.860 eV per cell
magnetization: 0.00 μB per cell
E above lowest polymorph: 0 meV per atom

abc: 6.6934 6.6934 6.6934
angles: 90.00 90.00 90.00
Space group F-43m (No. 216)
Unique sites:
Pm 0.0000 0.0000 0.0000
Cu 0.2500 0.2500 0.7500
Pb 0.0000 0.0000 0.5000


VASP calculation (PBE-GGA) on a geometry-optimized HoB2MoN structure.

Computed properties:
E: -81.490 eV per cell
magnetization: 0.00 μB per cell
E above lowest polymorph: 0 meV per atom

abc: 5.4061 3.1444 6.4917
angles: 90.00 104.67 90.00
Space group P2_1/m (No. 11)
Unique sites:
Ho 0.1626 0.2500 0.2046
B 0.0892 0.7500 0.4970
B 0.4150 0.7500 0.4971
Mo 0.3287 0.2500 0.7532
N 0.2777 0.7500 0.9792


VASP calculation (PBE-GGA) on a geometry-optimized BaPrO3 structure.

Computed properties:
E: -196.378 eV per cell
magnetization: 6.00 μB per cell

abc: 6.6235 6.6235 15.8366
angles: 90.00 90.00 120.00
Space group R-3c (No. 167, hexagonal axes)
Unique sites:
Ba 0.0000 0.0000 0.0000
Pr 0.0000 0.0000 0.2500
O 0.0000 0.3360 0.2500


VASP calculation (PBE-GGA) on a geometry-optimized YGa2Cu structure.

Computed properties:
E: -69.660 eV per cell
magnetization: 0.00 μB per cell

abc: 6.6313 6.6313 6.6313
angles: 90.00 90.00 90.00
Space group F-43m (No. 216)
Unique sites:
Y 0.0000 0.0000 0.0000
Ga 0.0000 0.0000 0.5000
Ga 0.2500 0.2500 0.7500
Cu 0.2500 0.2500 0.2500


VASP calculation (PBE-GGA) on a geometry-optimized Tm5Lu3Se structure.

Computed properties:
E: -42.545 eV per cell
magnetization: 0.03 μB per cell

abc: 8.9138 8.9138 3.6838
angles: 90.00 90.00 120.00
Space group P-62m (No. 189)
Unique sites:
Tm 0.0000 0.6068 0.0000
Tm 0.3333 0.6667 0.5000
Lu 0.0000 0.2601 0.5000
Se 0.0000 0.0000 0.0000


VASP calculation (PBE-GGA) on a geometry-optimized BaPmNO structure.

Computed properties:
E: -53.491 eV per cell
magnetization: 0.00 μB per cell
E above lowest polymorph: 191 meV per atom

abc: 5.2493 5.2493 5.4953
angles: 90.00 90.00 90.00
Space group P4/nmm (No. 129, origin choice 2)
Unique sites:
Ba 0.2500 0.2500 0.0021
Pm 0.2500 0.7500 0.5000
N 0.2500 0.2500 0.5039
O 0.2500 0.7500 0.0000


VASP calculation (PBE-GGA) on a geometry-optimized GdLuBe structure.

Computed properties:
E: -40.450 eV per cell
magnetization: 0.06 μB per cell

abc: 6.6635 6.6635 6.6635
angles: 90.00 90.00 90.00
Space group F-43m (No. 216)
Unique sites:
Gd 0.0000 0.0000 0.0000
Lu 0.2500 0.2500 0.2500
Be 0.0000 0.0000 0.5000


VASP calculation (PBE-GGA) on a geometry-optimized LaNd2Hg3PdAu2 structure.

Computed properties:
E: -66.325 eV per cell
magnetization: 0.01 μB per cell

abc: 3.9512 13.9127 7.9878
angles: 90.00 90.00 90.00
Space group Amm2 (No. 38)
Unique sites:
La 0.0000 0.0000 0.0000
Nd 0.0000 0.1978 0.5946
Hg 0.5000 0.0000 0.6535
Hg 0.5000 0.1307 0.2677
Pd 0.0000 0.0000 0.3945
Au 0.5000 0.1677 0.8953


VASP calculation (PBE-GGA) on a geometry-optimized Sn2OsAu structure.

Computed properties:
E: -79.272 eV per cell
magnetization: 0.02 μB per cell

abc: 6.8302 6.8302 6.8302
angles: 90.00 90.00 90.00
Space group F-43m (No. 216)
Unique sites:
Sn 0.0000 0.0000 0.0000
Sn 0.2500 0.2500 0.2500
Os 0.0000 0.0000 0.5000
Au 0.2500 0.2500 0.7500


VASP calculation (PBE-GGA) on a geometry-optimized Y4Zr2Au3N3 structure.

Computed properties:
E: -363.178 eV per cell
magnetization: 0.02 μB per cell

abc: 10.4503 6.0471 14.5439
angles: 90.00 103.89 90.00
Space group C2/c (No. 15)
Unique sites:
Y 0.1169 0.0782 0.1018
Y 0.2135 0.0873 0.3982
Zr 0.0607 0.4124 0.9204
Au 0.0000 0.1332 0.7500
Au 0.1417 0.4416 0.2491
N 0.0786 0.2637 0.5000
N 0.2500 0.2500 0.0000


VASP calculation (PBE-GGA) on a geometry-optimized NaSrNi structure.

Computed properties:
E: -26.239 eV per cell
magnetization: 0.00 μB per cell
E above lowest polymorph: 363 meV per atom

abc: 7.2658 7.2658 7.2658
angles: 90.00 90.00 90.00
Space group F-43m (No. 216)
Unique sites:
Na 0.0000 0.0000 0.0000
Sr 0.2500 0.2500 0.2500
Ni 0.0000 0.0000 0.5000


VASP calculation (PBE-GGA) on a geometry-optimized FeSi18Ge13 structure.

Computed properties:
E: -163.515 eV per cell
magnetization: 1.20 μB per cell

abc: 5.5625 3.9251 31.2563
angles: 90.00 90.02 90.00
Space group Pm (No. 6)
Unique sites:
Fe 0.0000 0.0000 0.0000
Si 0.0138 0.0000 0.8827
Si 0.0229 0.0000 0.3788
Si 0.0230 0.0000 0.6298
Si 0.2676 0.0000 0.9449
Si 0.2716 0.0000 0.1902
Si 0.2718 0.0000 0.4395
Si 0.2731 0.0000 0.6904
Si 0.5114 0.5000 0.1911
Si 0.5114 0.5000 0.4399
Si 0.5122 0.5000 0.6914
Si 0.5147 0.5000 0.9420
Si 0.5229 0.5000 0.3148
Si 0.5263 0.5000 0.0615
Si 0.7599 0.5000 0.2524
Si 0.7607 0.5000 0.5006
Si 0.7609 0.5000 0.7523
Si 0.7708 0.5000 0.8813
Si 0.7868 0.5000 0.0012
Ge 0.0110 0.0000 0.2519
Ge 0.0107 0.0000 0.5009
Ge 0.0123 0.0000 0.7522
Ge 0.0242 0.0000 0.1264
Ge 0.2602 0.0000 0.8182
Ge 0.2612 0.0000 0.5659
Ge 0.2657 0.0000 0.0581
Ge 0.2721 0.0000 0.3160
Ge 0.5232 0.5000 0.5647
Ge 0.5268 0.5000 0.8172
Ge 0.7570 0.5000 0.1272
Ge 0.7716 0.5000 0.3780
Ge 0.7733 0.5000 0.6298


VASP calculation (PBE-GGA) on a geometry-optimized ScBeZnSi structure.

Computed properties:
E: -65.512 eV per cell
magnetization: 0.00 μB per cell
E above lowest polymorph: 51 meV per atom

abc: 6.1485 6.1485 6.1485
angles: 90.00 90.00 90.00
Space group F-43m (No. 216)
Unique sites:
Sc 0.0000 0.0000 0.0000
Be 0.2500 0.2500 0.2500
Zn 0.2500 0.2500 0.7500
Si 0.0000 0.0000 0.5000


VASP calculation (PBE-GGA) on a geometry-optimized MgTaTlCo structure.

Computed properties:
E: -84.254 eV per cell
magnetization: 1.36 μB per cell
E above lowest polymorph: 0 meV per atom

abc: 6.4388 6.4388 6.4388
angles: 90.00 90.00 90.00
Space group F-43m (No. 216)
Unique sites:
Mg 0.0000 0.0000 0.0000
Ta 0.2500 0.2500 0.7500
Tl 0.2500 0.2500 0.2500
Co 0.0000 0.0000 0.5000


VASP calculation (PBE-GGA) on a geometry-optimized RbUCuS3 structure.

Computed properties:
E: -142.491 eV per cell
magnetization: 8.00 μB per cell

abc: 3.9730 14.5662 10.3004
angles: 90.00 90.00 90.00
Space group Cmcm (No. 63)
Unique sites:
Rb 0.0000 0.2419 0.2500
U 0.0000 0.5000 0.0000
Cu 0.0000 0.0349 0.7500
S 0.0000 0.1195 0.5599
S 0.0000 0.4433 0.7500


VASP calculation (PBE-GGA) on a geometry-optimized ScBiPt2 structure.

Computed properties:
E: -97.536 eV per cell
magnetization: 0.01 μB per cell

abc: 6.7416 6.7416 6.7416
angles: 90.00 90.00 90.00
Space group F-43m (No. 216)
Unique sites:
Sc 0.0000 0.0000 0.0000
Bi 0.2500 0.2500 0.7500
Pt 0.0000 0.0000 0.5000
Pt 0.2500 0.2500 0.2500